# 1
Below is a relaxed structure of TbEr9Tl2, with properties calculated at the PBE-GGA level.

Output
space-group type = P4/mmm (123)
ΔE_f = -0.103 eV per atom
raw total energy = -51.661 eV per cell
mass density = 9.906 g/cm3
total moment = 0.002 μB/cell

POSCAR file:
```
TbEr9Tl2
1.0
4.8358 0.0000 0.0000
0.0000 4.8358 0.0000
0.0000 0.0000 14.8594
Tb Er Tl
1 9 2
direct
0.0000 0.0000 0.0000
0.0000 0.5000 0.1715
0.0000 0.5000 0.5000
0.0000 0.5000 0.8285
0.5000 0.0000 0.1715
0.5000 0.0000 0.5000
0.5000 0.0000 0.8285
0.5000 0.5000 0.0000
0.5000 0.5000 0.3375
0.5000 0.5000 0.6625
0.0000 0.0000 0.3394
0.0000 0.0000 0.6606
```


# 2
Below is a relaxed structure of ScTaOs, with properties calculated at the PBE-GGA level.

Output
space-group type = P3m1 (156)
ΔE_f = -0.206 eV per atom
raw total energy = -30.032 eV per cell
mass density = 13.265 g/cm3
total moment = 0.000 μB/cell

POSCAR file:
```
ScTaOs
1.0
4.4715 0.0000 0.0000
-2.2358 3.8724 0.0000
0.0000 0.0000 3.0083
Sc Ta Os
1 1 1
direct
0.0000 0.0000 0.0000
0.6667 0.3333 0.3934
0.3333 0.6667 0.6612
```


# 3
Below is a relaxed structure of Ba2BeFe, with properties calculated at the PBE-GGA level.

Output
space-group type = P2/m (10)
ΔE_f = 0.777 eV per atom
raw total energy = -12.926 eV per cell
mass density = 4.581 g/cm3
total moment = 2.402 μB/cell

POSCAR file:
```
Ba2BeFe
1.0
3.9480 0.0000 0.0000
0.0000 3.9544 0.0000
-0.1711 0.0000 7.8834
Ba Be Fe
2 1 1
direct
0.0107 0.0000 0.2471
0.9893 0.0000 0.7529
0.5000 0.5000 0.0000
0.5000 0.5000 0.5000
```


# 4
Below is a relaxed structure of AgTe2Br, with properties calculated at the PBE-GGA level.

Output
space-group type = I-42d (122)
raw total energy = -20.680 eV per cell
mass density = 5.814 g/cm3
total moment = 0.000 μB/cell

POSCAR file:
```
AgTe2Br
1.0
-2.3901 2.3901 11.0735
2.3901 -2.3901 11.0735
2.3901 2.3901 -11.0735
Ag Te Br
2 4 2
direct
0.0000 0.0000 0.0000
0.7500 0.2500 0.5000
0.0295 0.6250 0.9045
0.3750 0.2795 0.4045
0.7205 0.1250 0.0955
0.8750 0.9705 0.5955
0.2500 0.7500 0.5000
0.5000 0.5000 0.0000
```


# 5
Below is a relaxed structure of TlAgBi3, with properties calculated at the PBE-GGA level.

Output
space-group type = Pm-3m (221)
ΔE_f = 0.409 eV per atom
raw total energy = -14.818 eV per cell
mass density = 8.776 g/cm3
total moment = 0.000 μB/cell

POSCAR file:
```
TlAgBi3
1.0
5.6222 0.0000 0.0000
0.0000 5.6222 0.0000
0.0000 0.0000 5.6222
Tl Ag Bi
1 1 3
direct
0.0000 0.0000 0.0000
0.5000 0.5000 0.5000
0.0000 0.5000 0.5000
0.5000 0.0000 0.5000
0.5000 0.5000 0.0000
```


# 6
Below is a relaxed structure of KCd2N, with properties calculated at the PBE-GGA level.

Output
space-group type = I-42d (122)
raw total energy = -19.039 eV per cell
mass density = 3.561 g/cm3
total moment = 0.000 μB/cell

POSCAR file:
```
KCd2N
1.0
-3.5789 3.5789 5.0599
3.5789 -3.5789 5.0599
3.5789 3.5789 -5.0599
K Cd N
2 4 2
direct
0.0000 0.0000 0.0000
0.7500 0.2500 0.5000
0.3740 0.1250 0.7490
0.3750 0.6260 0.7510
0.3760 0.6250 0.2510
0.8750 0.6240 0.2490
0.2500 0.7500 0.5000
0.5000 0.5000 0.0000
```


# 7
Below is a relaxed structure of YP7, with properties calculated at the PBE-GGA level.

Output
space-group type = Fm-3m (225)
ΔE_f = 0.334 eV per atom
raw total energy = -41.665 eV per cell
mass density = 3.892 g/cm3
total moment = 0.000 μB/cell

POSCAR file:
```
YP7
1.0
0.0000 4.0254 4.0254
4.0254 0.0000 4.0254
4.0254 4.0254 0.0000
Y P
1 7
direct
0.0000 0.0000 0.0000
0.0000 0.0000 0.5000
0.0000 0.5000 0.0000
0.0000 0.5000 0.5000
0.5000 0.0000 0.0000
0.5000 0.0000 0.5000
0.5000 0.5000 0.0000
0.5000 0.5000 0.5000
```


# 8
Below is a relaxed structure of NaSnPtO6, with properties calculated at the PBE-GGA level.

Output
space-group type = P-31c (163)
raw total energy = -96.535 eV per cell
mass density = 5.737 g/cm3
total moment = 3.270 μB/cell

POSCAR file:
```
NaSnPtO6
1.0
5.4021 0.0000 0.0000
-2.7010 4.6783 0.0000
0.0000 0.0000 9.9127
Na Sn Pt O
2 2 2 12
direct
0.0000 0.0000 0.0000
0.0000 0.0000 0.5000
0.3333 0.6667 0.2500
0.6667 0.3333 0.7500
0.3333 0.6667 0.7500
0.6667 0.3333 0.2500
0.0196 0.3787 0.6399
0.0196 0.6409 0.8601
0.3591 0.3787 0.8601
0.3591 0.9804 0.6399
0.3787 0.0196 0.1399
0.3787 0.3591 0.3601
0.6213 0.6409 0.6399
0.6213 0.9804 0.8601
0.6409 0.0196 0.3601
0.6409 0.6213 0.1399
0.9804 0.3591 0.1399
0.9804 0.6213 0.3601
```


# 9
Below is a relaxed structure of BaMgTl6, with properties calculated at the PBE-GGA level.

Output
space-group type = P4/mmm (123)
ΔE_f = -0.091 eV per atom
raw total energy = -18.446 eV per cell
mass density = 8.686 g/cm3
total moment = 0.000 μB/cell

POSCAR file:
```
BaMgTl6
1.0
5.1576 0.0000 0.0000
0.0000 5.1576 0.0000
0.0000 0.0000 9.9747
Ba Mg Tl
1 1 6
direct
0.0000 0.0000 0.0000
0.0000 0.0000 0.5000
0.0000 0.5000 0.3306
0.0000 0.5000 0.6694
0.5000 0.0000 0.3306
0.5000 0.0000 0.6694
0.5000 0.5000 0.1479
0.5000 0.5000 0.8521
```


# 10
Below is a relaxed structure of UAl2Cu, with properties calculated at the PBE-GGA level.

Output
space-group type = P4/mmm (123)
ΔE_f = -0.171 eV per atom
raw total energy = -23.555 eV per cell
mass density = 9.224 g/cm3
total moment = 0.884 μB/cell

POSCAR file:
```
UAl2Cu
1.0
2.8091 0.0000 0.0000
0.0000 2.8091 0.0000
0.0000 0.0000 8.1111
U Al Cu
1 2 1
direct
0.0000 0.0000 0.0000
0.5000 0.5000 0.2926
0.5000 0.5000 0.7074
0.0000 0.0000 0.5000
```


# 11
Below is a relaxed structure of Mn5Ir, with properties calculated at the PBE-GGA level.

Output
space-group type = F-43m (216)
ΔE_f = 0.027 eV per atom
raw total energy = -54.549 eV per cell
mass density = 10.838 g/cm3
total moment = 1.760 μB/cell

POSCAR file:
```
Mn5Ir
1.0
0.0000 3.2948 3.2948
3.2948 0.0000 3.2948
3.2948 3.2948 0.0000
Mn Ir
5 1
direct
0.0000 0.0000 0.0000
0.3751 0.3751 0.3751
0.3751 0.3751 0.8746
0.3751 0.8746 0.3751
0.8746 0.3751 0.3751
0.7500 0.7500 0.7500
```


# 12
Below is a relaxed structure of KLiPb2I6, with properties calculated at the PBE-GGA level.

Output
space-group type = R3 (146)
raw total energy = -28.642 eV per cell
mass density = 4.711 g/cm3
total moment = 0.000 μB/cell

POSCAR file:
```
KLiPb2I6
1.0
4.0884 2.3604 7.4381
-4.0884 2.3604 7.4381
0.0000 -4.7209 7.4381
K Li Pb I
1 1 2 6
direct
0.0000 0.0000 0.0000
0.4827 0.4827 0.4827
0.2976 0.2976 0.2976
0.8085 0.8085 0.8085
0.0952 0.6763 0.4310
0.2304 0.5695 0.8800
0.4310 0.0952 0.6762
0.5695 0.8800 0.2304
0.6762 0.4310 0.0952
0.8800 0.2304 0.5695
```


# 13
Below is a relaxed structure of LiPuAu2O8, with properties calculated at the PBE-GGA level.

Output
space-group type = I-4m2 (119)
raw total energy = -70.386 eV per cell
mass density = 7.861 g/cm3
total moment = 0.000 μB/cell

POSCAR file:
```
LiPuAu2O8
1.0
-3.3439 3.3439 3.6500
3.3439 -3.3439 3.6500
3.3439 3.3439 -3.6500
Li Pu Au O
1 1 2 8
direct
0.0000 0.0000 0.0000
0.2500 0.7500 0.5000
0.5000 0.5000 0.0000
0.7500 0.2500 0.5000
0.2807 0.0699 0.7892
0.2807 0.4915 0.2108
0.3592 0.0344 0.3247
0.5085 0.7193 0.7892
0.7097 0.0344 0.6753
0.9301 0.7193 0.2108
0.9656 0.2903 0.3247
0.9656 0.6408 0.6753
```


# 14
Below is a relaxed structure of Y8SiSe3S3, with properties calculated at the PBE-GGA level.

Output
space-group type = R-3m (166)
raw total energy = -104.782 eV per cell
mass density = 4.895 g/cm3
total moment = 0.000 μB/cell

POSCAR file:
```
Y8SiSe3S3
1.0
3.9846 2.3005 6.6140
-3.9846 2.3005 6.6140
0.0000 -4.6011 6.6140
Y Si Se S
8 1 3 3
direct
0.2425 0.2425 0.2425
0.2432 0.7459 0.7459
0.2541 0.2541 0.7568
0.2541 0.7568 0.2541
0.7459 0.2432 0.7459
0.7459 0.7459 0.2432
0.7568 0.2541 0.2541
0.7575 0.7575 0.7575
0.5000 0.5000 0.5000
0.0000 0.5000 0.5000
0.5000 0.0000 0.5000
0.5000 0.5000 0.0000
0.0000 0.0000 0.5000
0.0000 0.5000 0.0000
0.5000 0.0000 0.0000
```


# 15
Below is a relaxed structure of Sc3SbTe3, with properties calculated at the PBE-GGA level.

Output
space-group type = R-3 (148)
raw total energy = -78.789 eV per cell
mass density = 5.445 g/cm3
total moment = 0.000 μB/cell

POSCAR file:
```
Sc3SbTe3
1.0
4.3791 2.5283 5.8713
-4.3791 2.5283 5.8713
0.0000 -5.0566 5.8713
Sc Sb Te
6 2 6
direct
0.0347 0.8068 0.4271
0.1932 0.5729 0.9653
0.4271 0.0347 0.8068
0.5729 0.9653 0.1932
0.8068 0.4271 0.0347
0.9653 0.1932 0.5729
0.1655 0.1655 0.1655
0.8345 0.8345 0.8345
0.1460 0.3990 0.6789
0.3211 0.8540 0.6010
0.3990 0.6789 0.1460
0.6010 0.3211 0.8540
0.6789 0.1460 0.3990
0.8540 0.6010 0.3211
```


# 16
Below is a relaxed structure of MgNbCrRu, with properties calculated at the PBE-GGA level.

Output
space-group type = F-43m (216)
ΔE_f = -0.015 eV per atom
raw total energy = -30.625 eV per cell
mass density = 7.130 g/cm3
total moment = 2.938 μB/cell

POSCAR file:
```
MgNbCrRu
1.0
0.0000 3.1572 3.1572
3.1572 0.0000 3.1572
3.1572 3.1572 0.0000
Mg Nb Cr Ru
1 1 1 1
direct
0.0000 0.0000 0.0000
0.5000 0.5000 0.5000
0.2500 0.2500 0.2500
0.7500 0.7500 0.7500
```


# 17
Below is a relaxed structure of TePt2Se, with properties calculated at the PBE-GGA level.

Output
space-group type = P2/m (10)
raw total energy = -19.076 eV per cell
mass density = 12.220 g/cm3
total moment = 0.000 μB/cell

POSCAR file:
```
TePt2Se
1.0
3.8372 0.0000 0.0000
0.0000 3.8863 0.0000
-0.0627 0.0000 5.4377
Te Pt Se
1 2 1
direct
0.0000 0.0000 0.0000
0.0000 0.0000 0.5000
0.5000 0.5000 0.0000
0.5000 0.5000 0.5000
```


# 18
Below is a relaxed structure of PPbOF2, with properties calculated at the PBE-GGA level.

Output
space-group type = P4/mmm (123)
raw total energy = -20.390 eV per cell
mass density = 5.302 g/cm3
total moment = 2.143 μB/cell

POSCAR file:
```
PPbOF2
1.0
4.5847 0.0000 0.0000
0.0000 4.5847 0.0000
0.0000 0.0000 4.3535
P Pb O F
1 1 1 2
direct
0.0000 0.0000 0.0000
0.5000 0.5000 0.5000
0.5000 0.5000 0.0000
0.0000 0.5000 0.5000
0.5000 0.0000 0.5000
```


# 19
Below is a relaxed structure of GdIn2Cu, with properties calculated at the PBE-GGA level.

Output
space-group type = P4/mmm (123)
ΔE_f = -0.215 eV per atom
raw total energy = -24.514 eV per cell
mass density = 8.452 g/cm3
total moment = 7.618 μB/cell

POSCAR file:
```
GdIn2Cu
1.0
3.4002 0.0000 0.0000
0.0000 3.4002 0.0000
0.0000 0.0000 7.6544
Gd In Cu
1 2 1
direct
0.0000 0.0000 0.0000
0.5000 0.5000 0.2972
0.5000 0.5000 0.7028
0.0000 0.0000 0.5000
```